No. 1
{
  "formula": "K3CoSe",
  "functional": "PBE-GGA",
  "state": "relaxed",
  "raw_formation_energy_mev_per_atom": 50,
  "sg": "Pm-3m, No. 221",
  "n_ef_per_ev_fu": 0.0,
  "polymorph_energy_kj_per_mol_atoms": 0.0,
  "cell": [[6.2631, 0.0000, 0.0000], [0.0000, 6.2631, 0.0000], [0.0000, 0.0000, 6.2631]],
  "species": ["K", "K", "K", "Co", "Se"],
  "frac_coords": [[0.0000, 0.0000, 0.5000], [0.0000, 0.5000, 0.0000], [0.5000, 0.0000, 0.0000], [0.5000, 0.5000, 0.5000], [0.0000, 0.0000, 0.0000]]
}

No. 2
{
  "formula": "CsK2NaAg",
  "functional": "PBE-GGA",
  "state": "relaxed",
  "formation_enthalpy_0k_ev_per_fu": 0.271,
  "sg": "P4/mmm, No. 123",
  "n_ef_per_ev_fu": 2.1,
  "polymorph_energy_kj_per_mol_atoms": 0.0,
  "cell": [[6.8028, 0.0000, 0.0000], [0.0000, 6.8028, 0.0000], [0.0000, 0.0000, 6.1728]],
  "species": ["Cs", "K", "K", "Na", "Ag"],
  "frac_coords": [[0.0000, 0.0000, 0.0000], [0.0000, 0.5000, 0.5000], [0.5000, 0.0000, 0.5000], [0.5000, 0.5000, 0.0000], [0.5000, 0.5000, 0.5000]]
}

No. 3
{
  "formula": "NdGa2Pd3",
  "functional": "PBE-GGA",
  "state": "relaxed",
  "formation_enthalpy_0k_ev_per_fu": -4.710,
  "sg": "C2/m, No. 12",
  "n_ef_per_ev_fu": 3.4,
  "cell": [[8.4311, -2.0531, 0.0000], [8.4311, 2.0531, 0.0000], [-2.9804, 0.0000, 9.6150]],
  "species": ["Nd", "Nd", "Nd", "Ga", "Ga", "Ga", "Ga", "Ga", "Ga", "Pd", "Pd", "Pd", "Pd", "Pd", "Pd", "Pd", "Pd", "Pd"],
  "frac_coords": [[0.0000, 0.0000, 0.0000], [0.1629, 0.1629, 0.7046], [0.8371, 0.8371, 0.2954], [0.1956, 0.1956, 0.1276], [0.3614, 0.3614, 0.5453], [0.4616, 0.4616, 0.2239], [0.5384, 0.5384, 0.7761], [0.6386, 0.6386, 0.4547], [0.8044, 0.8044, 0.8724], [0.0420, 0.0420, 0.3367], [0.2155, 0.2155, 0.3927], [0.3228, 0.3228, 0.0381], [0.3826, 0.3826, 0.8038], [0.5000, 0.5000, 0.5000], [0.6174, 0.6174, 0.1962], [0.6772, 0.6772, 0.9619], [0.7845, 0.7845, 0.6073], [0.9580, 0.9580, 0.6633]]
}

No. 4
{
  "formula": "CeSm2TmS4",
  "functional": "PBE-GGA",
  "state": "relaxed",
  "raw_formation_energy_mev_per_atom": -2007,
  "sg": "P2/m, No. 10",
  "n_ef_per_ev_fu": 7.1,
  "cell": [[6.8673, 0.0000, 0.0000], [0.0000, 3.9527, 0.0000], [-2.2780, 0.0000, 6.5272]],
  "species": ["Ce", "Sm", "Sm", "Tm", "S", "S", "S", "S"],
  "frac_coords": [[0.0000, 0.0000, 0.0000], [0.5000, 0.0000, 0.5000], [0.5000, 0.5000, 0.0000], [0.0000, 0.5000, 0.5000], [0.2394, 0.0000, 0.7388], [0.2454, 0.5000, 0.2564], [0.7546, 0.5000, 0.7436], [0.7606, 0.0000, 0.2612]]
}

Copy entry 1 word for word.
{
  "formula": "K3CoSe",
  "functional": "PBE-GGA",
  "state": "relaxed",
  "raw_formation_energy_mev_per_atom": 50,
  "sg": "Pm-3m, No. 221",
  "n_ef_per_ev_fu": 0.0,
  "polymorph_energy_kj_per_mol_atoms": 0.0,
  "cell": [[6.2631, 0.0000, 0.0000], [0.0000, 6.2631, 0.0000], [0.0000, 0.0000, 6.2631]],
  "species": ["K", "K", "K", "Co", "Se"],
  "frac_coords": [[0.0000, 0.0000, 0.5000], [0.0000, 0.5000, 0.0000], [0.5000, 0.0000, 0.0000], [0.5000, 0.5000, 0.5000], [0.0000, 0.0000, 0.0000]]
}